No. 1
Below is an optimized crystal structure of PmBRhO5, with properties calculated at the PBE level.

Results
space group	C2/c
formation energy without anion corrections	-2080	meV/atom
ρ	6.45	g cm⁻³
density of states at the Fermi level	0.4132	states/eV per atom

Structure (POSCAR):
```
PmBRhO5
1.0
-1.4294 5.1929 -0.5481
-0.6632 -2.4622 -4.7758
-5.0487 -2.5617 3.7235
Pm B Rh O
2 2 2 10
direct
0.3549 0.6451 0.2500
0.6451 0.3549 0.7500
0.6921 0.3079 0.2500
0.3079 0.6921 0.7500
0.0000 0.0000 0.5000
0.0000 0.0000 0.0000
0.0903 0.9097 0.2500
0.9097 0.0903 0.7500
0.8929 0.3295 0.1329
0.1071 0.6705 0.8671
0.6705 0.1071 0.3671
0.3295 0.8929 0.6329
0.7480 0.5806 0.4201
0.2520 0.4194 0.5799
0.4194 0.2520 0.0799
0.5806 0.7480 0.9201
```



No. 2
Below is an optimized crystal structure of PmBSO2, with properties calculated at the PBE level.

Results
space group	P2_1/m
formation energy without anion corrections	-2319	meV/atom
ρ	4.88	g cm⁻³
density of states at the Fermi level	0.0000	states/eV per atom

Structure (POSCAR):
```
PmBSO2
1.0
-0.2258 4.1309 -2.3097
-0.5033 -2.8196 -4.9936
-5.3468 0.6583 1.6999
Pm B S O
2 2 2 4
direct
0.7500 0.2612 0.6944
0.2500 0.7388 0.3056
0.2500 0.9371 0.8621
0.7500 0.0629 0.1379
0.7500 0.4144 0.2325
0.2500 0.5856 0.7675
0.7500 0.9646 0.8965
0.2500 0.0354 0.1035
0.2500 0.0502 0.6711
0.7500 0.9498 0.3289
```



No. 3
Below is an optimized crystal structure of PmB2SO8, with properties calculated at the PBE level.

Results
space group	C2/m
formation energy without anion corrections	-1739	meV/atom
ρ	4.80	g cm⁻³
density of states at the Fermi level	0.1618	states/eV per atom

Structure (POSCAR):
```
PmB2SO8
1.0
-2.5446 1.1388 -3.6505
-4.2856 -0.6567 -0.1074
-3.8923 5.9969 1.6941
Pm B S O
1 2 1 8
direct
0.5000 0.5000 0.5000
0.2949 0.2141 0.1961
0.7051 0.7859 0.8039
0.0000 0.0000 0.0000
0.8090 0.7768 0.6053
0.7861 0.4534 0.9745
0.1910 0.2232 0.3947
0.2139 0.5466 0.0255
0.6865 0.9480 0.1798
0.3135 0.0520 0.8202
0.1857 0.9480 0.1798
0.8143 0.0520 0.8202
```



No. 4
Below is an optimized crystal structure of PmB2SbO8, with properties calculated at the PBE level.

Results
space group	C2/m
formation energy without anion corrections	-1964	meV/atom
ρ	4.99	g cm⁻³
density of states at the Fermi level	0.3681	states/eV per atom

Structure (POSCAR):
```
PmB2SbO8
1.0
4.6011 -0.1470 -0.0433
1.9921 4.1501 -0.0433
0.2440 0.1481 7.1503
Pm B Sb O
1 2 1 8
direct
0.0000 0.0000 0.5000
0.6304 0.6304 0.2198
0.3696 0.3696 0.7802
0.0000 0.0000 0.0000
0.7203 0.2328 0.7873
0.7434 0.7434 0.0478
0.7063 0.7063 0.4033
0.2937 0.2937 0.5967
0.2566 0.2566 0.9522
0.2328 0.7203 0.7873
0.7672 0.2797 0.2127
0.2797 0.7672 0.2127
```



No. 5
Below is an optimized crystal structure of PmScB2O6, with properties calculated at the PBE level.

Results
space group	R-3
formation energy without anion corrections	-3036	meV/atom
ρ	4.38	g cm⁻³
density of states at the Fermi level	0.0000	states/eV per atom

Structure (POSCAR):
```
PmScB2O6
1.0
4.9601 0.0000 0.0000
2.4800 4.2956 0.0000
2.4800 1.4319 5.4735
Pm Sc B O
1 1 2 6
direct
0.0000 0.0000 0.0000
0.5000 0.5000 0.5000
0.7571 0.7571 0.7288
0.2429 0.2429 0.2712
0.0486 0.4919 0.7343
0.7252 0.0486 0.7343
0.5081 0.2748 0.2657
0.9514 0.5081 0.2657
0.2748 0.9514 0.2657
0.4919 0.7252 0.7343
```



No. 6
Below is an optimized crystal structure of PmBSeO2, with properties calculated at the PBE level.

Results
space group	P2_1/m
formation energy without anion corrections	-2228	meV/atom
ρ	5.45	g cm⁻³
density of states at the Fermi level	0.0000	states/eV per atom

Structure (POSCAR):
```
PmBSeO2
1.0
4.8100 0.0000 0.0000
0.0000 6.0239 -0.5412
0.0000 -0.7730 5.6787
Pm B Se O
2 2 2 4
direct
0.7500 0.2498 0.6918
0.2500 0.7502 0.3082
0.2500 0.9437 0.8635
0.7500 0.0563 0.1365
0.7500 0.4233 0.2337
0.2500 0.5767 0.7663
0.7500 0.9718 0.9004
0.2500 0.0282 0.0996
0.2500 0.0452 0.6717
0.7500 0.9548 0.3283
```



No. 7
Below is an optimized crystal structure of PmB2SeO8, with properties calculated at the PBE level.

Results
space group	C2/m
formation energy without anion corrections	-1580	meV/atom
ρ	5.07	g cm⁻³
density of states at the Fermi level	0.4597	states/eV per atom

Structure (POSCAR):
```
PmB2SeO8
1.0
4.9765 0.0000 0.0000
2.4882 4.4405 0.4615
2.4882 2.1635 5.7595
Pm B Se O
1 2 1 8
direct
0.5000 0.5000 0.5000
0.3011 0.2665 0.1313
0.6989 0.7335 0.8687
0.0000 0.0000 0.0000
0.8764 0.4831 0.7641
0.6548 0.5713 0.1191
0.1236 0.5169 0.2359
0.3452 0.4287 0.8809
0.6077 0.0314 0.2284
0.3923 0.9686 0.7716
0.1325 0.0314 0.2284
0.8675 0.9686 0.7716
```



No. 8
Below is an optimized crystal structure of PmSnB2O6, with properties calculated at the PBE level.

Results
space group	C2/c
formation energy without anion corrections	-2404	meV/atom
ρ	4.87	g cm⁻³
density of states at the Fermi level	0.0961	states/eV per atom

Structure (POSCAR):
```
PmSnB2O6
1.0
-0.3903 6.4814 -0.2969
-5.9567 -1.3883 2.1998
3.5337 -0.7730 5.4419
Pm Sn B O
2 2 4 12
direct
0.6006 0.3994 0.2500
0.3994 0.6006 0.7500
0.0884 0.9116 0.2500
0.9116 0.0884 0.7500
0.4082 0.0945 0.7451
0.9055 0.5918 0.7549
0.5918 0.9055 0.2549
0.0945 0.4082 0.2451
0.9570 0.5478 0.2402
0.4522 0.0430 0.2598
0.0430 0.4522 0.7598
0.5478 0.9570 0.7402
0.0210 0.1966 0.1166
0.8034 0.9790 0.3834
0.9790 0.8034 0.8834
0.1966 0.0210 0.6166
0.2954 0.4654 0.3768
0.5346 0.7046 0.1232
0.7046 0.5346 0.6232
0.4654 0.2954 0.8768
```



No. 9
Below is an optimized crystal structure of PmSnBO5, with properties calculated at the PBE level.

Results
space group	C2/c
formation energy without anion corrections	-2391	meV/atom
ρ	6.30	g cm⁻³
density of states at the Fermi level	0.0000	states/eV per atom

Structure (POSCAR):
```
PmSnBO5
1.0
5.4768 -0.0042 0.0474
-1.6028 5.2370 0.0474
-1.5529 -2.0976 6.4803
Pm Sn B O
2 2 2 10
direct
0.3527 0.6473 0.2500
0.6473 0.3527 0.7500
0.0000 0.0000 0.5000
0.0000 0.0000 0.0000
0.6868 0.3132 0.2500
0.3132 0.6868 0.7500
0.0954 0.9046 0.2500
0.9046 0.0954 0.7500
0.8929 0.3278 0.1362
0.1071 0.6722 0.8638
0.6722 0.1071 0.3638
0.3278 0.8929 0.6362
0.7397 0.5797 0.4109
0.2603 0.4203 0.5891
0.4203 0.2603 0.0891
0.5797 0.7397 0.9109
```



No. 10
Below is an optimized crystal structure of SrPmBO4, with properties calculated at the PBE level.

Results
space group	P2_1/m
formation energy without anion corrections	-2977	meV/atom
ρ	5.62	g cm⁻³
density of states at the Fermi level	0.0000	states/eV per atom

Structure (POSCAR):
```
SrPmBO4
1.0
-1.2150 -4.9274 -0.9926
4.3381 -1.5779 2.5229
-2.9818 1.5432 6.0924
Sr Pm B O
2 2 2 8
direct
0.7162 0.7500 0.9372
0.2838 0.2500 0.0628
0.7794 0.7500 0.4618
0.2206 0.2500 0.5382
0.2139 0.7500 0.2959
0.7861 0.2500 0.7041
0.9652 0.4772 0.7437
0.0348 0.9772 0.2563
0.0348 0.5228 0.2563
0.9652 0.0228 0.7437
0.4103 0.7500 0.1735
0.5897 0.2500 0.8265
0.3537 0.7500 0.5238
0.6463 0.2500 0.4762
```



No. 11
Below is an optimized crystal structure of SrPm2B2O6, with properties calculated at the PBE level.

Results
space group	P-3
formation energy without anion corrections	-2550	meV/atom
ρ	5.20	g cm⁻³
density of states at the Fermi level	0.0425	states/eV per atom

Structure (POSCAR):
```
SrPm2B2O6
1.0
5.5951 0.0000 0.0000
-2.7976 4.8455 0.0000
0.0000 0.0000 5.8291
Sr Pm B O
1 2 2 6
direct
0.0000 0.0000 0.0000
0.3333 0.6667 0.3470
0.6667 0.3333 0.6530
0.3333 0.6667 0.8042
0.6667 0.3333 0.1958
0.2999 0.4025 0.7286
0.1026 0.7001 0.7286
0.5975 0.8974 0.7286
0.7001 0.5975 0.2714
0.8974 0.2999 0.2714
0.4025 0.1026 0.2714
```



No. 12
Below is an optimized crystal structure of SrPm3B4O12, with properties calculated at the PBE level.

Results
space group	R32
formation energy without anion corrections	-2870	meV/atom
ρ	4.46	g cm⁻³
density of states at the Fermi level	0.5725	states/eV per atom

Structure (POSCAR):
```
SrPm3B4O12
1.0
6.7236 0.1276 0.1773
-1.4962 6.5563 0.1773
-1.4962 -1.9130 6.2735
Sr Pm B O
1 3 4 12
direct
0.0000 0.0000 0.0000
0.5323 0.4677 0.0000
0.4677 0.0000 0.5323
0.0000 0.5323 0.4677
0.9655 0.0345 0.5000
0.0345 0.5000 0.9655
0.5000 0.9655 0.0345
0.5000 0.5000 0.5000
0.5000 0.3672 0.6328
0.9015 0.5000 0.0985
0.0985 0.9015 0.5000
0.5000 0.0985 0.9015
0.3776 0.9797 0.1756
0.1756 0.3776 0.9797
0.9797 0.1756 0.3776
0.6224 0.8244 0.0203
0.0203 0.6224 0.8244
0.8244 0.0203 0.6224
0.6328 0.5000 0.3672
0.3672 0.6328 0.5000
```



No. 13
Below is an optimized crystal structure of PmTcB2O8, with properties calculated at the PBE level.

Results
space group	P-3m1
formation energy without anion corrections	-1974	meV/atom
ρ	4.76	g cm⁻³
density of states at the Fermi level	0.4647	states/eV per atom

Structure (POSCAR):
```
PmTcB2O8
1.0
4.9281 0.0000 0.0000
-2.4640 4.2678 0.0000
0.0000 0.0000 6.5162
Pm Tc B O
1 1 2 8
direct
0.0000 0.0000 0.5000
0.0000 0.0000 0.0000
0.6667 0.3333 0.2654
0.3333 0.6667 0.7346
0.8273 0.1727 0.1802
0.8273 0.6547 0.1802
0.3453 0.1727 0.1802
0.6547 0.8273 0.8198
0.3333 0.6667 0.5186
0.6667 0.3333 0.4814
0.1727 0.8273 0.8198
0.1727 0.3453 0.8198
```



No. 14
Below is an optimized crystal structure of PmB2TeO8, with properties calculated at the PBE level.

Results
space group	C2/m
formation energy without anion corrections	-1928	meV/atom
ρ	5.14	g cm⁻³
density of states at the Fermi level	0.4103	states/eV per atom

Structure (POSCAR):
```
PmB2TeO8
1.0
-0.4304 0.5643 -4.5048
-2.3563 -3.3440 -2.0156
-6.1390 3.5450 0.8161
Pm B Te O
1 2 1 8
direct
0.0000 0.0000 0.5000
0.6368 0.6368 0.2181
0.3632 0.3632 0.7819
0.0000 0.0000 0.0000
0.7224 0.2312 0.7932
0.7509 0.7509 0.0471
0.7035 0.7035 0.4029
0.2965 0.2965 0.5971
0.2491 0.2491 0.9529
0.2312 0.7224 0.7932
0.7688 0.2776 0.2068
0.2776 0.7688 0.2068
```



No. 15
Below is an optimized crystal structure of PmTiBO5, with properties calculated at the PBE level.

Results
space group	C2/c
formation energy without anion corrections	-2968	meV/atom
ρ	5.40	g cm⁻³
density of states at the Fermi level	0.0000	states/eV per atom

Structure (POSCAR):
```
PmTiBO5
1.0
5.3445 0.0107 0.0146
-1.5499 5.1148 0.0146
-1.5594 -2.1063 6.3706
Pm Ti B O
2 2 2 10
direct
0.3416 0.6584 0.2500
0.6584 0.3416 0.7500
0.0000 0.0000 0.5000
0.0000 0.0000 0.0000
0.6831 0.3169 0.2500
0.3169 0.6831 0.7500
0.0763 0.9237 0.2500
0.9237 0.0763 0.7500
0.8805 0.3160 0.1242
0.1195 0.6840 0.8758
0.6840 0.1195 0.3758
0.3160 0.8805 0.6242
0.7499 0.5982 0.4056
0.2501 0.4018 0.5944
0.4018 0.2501 0.0944
0.5982 0.7499 0.9056
```



No. 16
Below is an optimized crystal structure of PmTlBO4, with properties calculated at the PBE level.

Results
space group	P2_1/m
formation energy without anion corrections	-2164	meV/atom
ρ	7.46	g cm⁻³
density of states at the Fermi level	0.3246	states/eV per atom

Structure (POSCAR):
```
PmTlBO4
1.0
-3.9064 2.8490 2.6284
-3.4286 -3.5016 -1.3003
2.7831 -4.4763 4.7159
Pm Tl B O
2 2 2 8
direct
0.7506 0.7500 0.4402
0.2494 0.2500 0.5598
0.7456 0.7500 0.9300
0.2544 0.2500 0.0700
0.2022 0.7500 0.3092
0.7978 0.2500 0.6908
0.9648 0.4824 0.7217
0.0352 0.9824 0.2783
0.0352 0.5176 0.2783
0.9648 0.0176 0.7217
0.3675 0.7500 0.1710
0.6325 0.2500 0.8290
0.3616 0.7500 0.5241
0.6384 0.2500 0.4759
```



No. 17
Below is an optimized crystal structure of PmTl3B2O6, with properties calculated at the PBE level.

Results
space group	P-3m1
formation energy without anion corrections	-2015	meV/atom
ρ	7.10	g cm⁻³
density of states at the Fermi level	0.0000	states/eV per atom

Structure (POSCAR):
```
PmTl3B2O6
1.0
-0.9967 -5.1231 -2.0277
2.7798 3.7451 -3.0980
6.5199 -2.4241 2.9197
Pm Tl B O
1 3 2 6
direct
0.0000 0.0000 0.5000
0.3333 0.6667 0.7913
0.6667 0.3333 0.2087
0.0000 0.0000 0.0000
0.6667 0.3333 0.6927
0.3333 0.6667 0.3073
0.6201 0.8101 0.3072
0.1899 0.3799 0.3072
0.1899 0.8101 0.3072
0.8101 0.6201 0.6928
0.3799 0.1899 0.6928
0.8101 0.1899 0.6928
```



No. 18
Below is an optimized crystal structure of PmTl2B2O6, with properties calculated at the PBE level.

Results
space group	C2/m
formation energy without anion corrections	-2080	meV/atom
ρ	6.71	g cm⁻³
density of states at the Fermi level	0.2398	states/eV per atom

Structure (POSCAR):
```
PmTl2B2O6
1.0
-1.8962 3.8988 -3.4876
4.1073 -3.4500 -1.6513
-7.2532 -2.4792 1.1720
Pm Tl B O
1 2 2 6
direct
0.5000 0.0000 0.5000
0.6934 0.3867 0.1347
0.3066 0.6133 0.8653
0.9532 0.9065 0.7369
0.0468 0.0935 0.2631
0.8020 0.6041 0.7128
0.1798 0.9317 0.2521
0.2481 0.0683 0.7479
0.8202 0.0683 0.7479
0.7519 0.9317 0.2521
0.1980 0.3959 0.2872
```



No. 19
Below is an optimized crystal structure of PmTm3B4O12, with properties calculated at the PBE level.

Results
space group	R32
formation energy without anion corrections	-3107	meV/atom
ρ	5.97	g cm⁻³
density of states at the Fermi level	0.0000	states/eV per atom

Structure (POSCAR):
```
PmTm3B4O12
1.0
6.4610 0.0748 0.1039
-1.4841 6.2887 0.1039
-1.4841 -1.8976 5.9964
Pm Tm B O
1 3 4 12
direct
0.0000 0.0000 0.0000
0.5378 0.4622 0.0000
0.4622 0.0000 0.5378
0.0000 0.5378 0.4622
0.9615 0.0385 0.5000
0.0385 0.5000 0.9615
0.5000 0.9615 0.0385
0.5000 0.5000 0.5000
0.5000 0.3631 0.6369
0.9017 0.5000 0.0983
0.0983 0.9017 0.5000
0.5000 0.0983 0.9017
0.3654 0.9721 0.1793
0.1793 0.3654 0.9721
0.9721 0.1793 0.3654
0.6346 0.8207 0.0279
0.0279 0.6346 0.8207
0.8207 0.0279 0.6346
0.6369 0.5000 0.3631
0.3631 0.6369 0.5000
```